Entry 1:
# GGA-PBE PdPt3O8, optimized geometry
data_PdPt3O8
_symmetry_space_group_name_H-M 'C 1 2/m 1'
_symmetry_Int_Tables_number 12
_cell_length_a 10.399
_cell_length_b 6.301
_cell_length_c 6.102
_cell_angle_alpha 90.00
_cell_angle_beta 122.94
_cell_angle_gamma 90.00
loop_
_symmetry_equiv_pos_as_xyz
'x,y,z'
'-x,-y,-z'
'-x,y,-z'
'x,-y,z'
'x+1/2,y+1/2,z'
'-x+1/2,-y+1/2,-z'
'-x+1/2,y+1/2,-z'
'x+1/2,-y+1/2,z'
loop_
_atom_site_label
_atom_site_fract_x
_atom_site_fract_y
_atom_site_fract_z
Pd1 0.000 0.000 0.000
Pt1 0.000 0.500 0.000
Pt2 0.250 0.250 0.500
O1 0.018 0.251 0.231
O2 0.232 0.500 0.269
O3 0.233 0.000 0.270
# **Formation energy without anion corrections**: -9.9 kcal/mol of atoms
# **Total energy**: -5.6771 eV/atom

=====

Entry 2:
# GGA-PBE Pd2Pt3O8, optimized geometry
data_Pd2Pt3O8
_symmetry_space_group_name_H-M 'C 1 2/m 1'
_symmetry_Int_Tables_number 12
_cell_length_a 9.944
_cell_length_b 6.264
_cell_length_c 5.419
_cell_angle_alpha 90.00
_cell_angle_beta 99.92
_cell_angle_gamma 90.00
loop_
_symmetry_equiv_pos_as_xyz
'x,y,z'
'-x,-y,-z'
'-x,y,-z'
'x,-y,z'
'x+1/2,y+1/2,z'
'-x+1/2,-y+1/2,-z'
'-x+1/2,y+1/2,-z'
'x+1/2,-y+1/2,z'
loop_
_atom_site_label
_atom_site_fract_x
_atom_site_fract_y
_atom_site_fract_z
Pd1 0.209 0.000 0.057
Pt1 0.000 0.247 0.500
Pt2 0.000 0.500 0.000
O1 0.100 0.500 0.364
O2 0.108 0.000 0.397
O3 0.117 0.271 0.853
# **Formation energy without anion corrections**: -6.8 kcal/mol of atoms
# **Total energy**: -5.5384 eV/atom
# **D(E_F)**: 7.7 states/eV/f.u.

=====

Entry 3:
# GGA-PBE Pd2PtO6, optimized geometry
data_Pd2PtO6
_symmetry_space_group_name_H-M 'C 1 2/m 1'
_symmetry_Int_Tables_number 12
_cell_length_a 9.860
_cell_length_b 3.821
_cell_length_c 6.514
_cell_angle_alpha 90.00
_cell_angle_beta 117.15
_cell_angle_gamma 90.00
loop_
_symmetry_equiv_pos_as_xyz
'x,y,z'
'-x,-y,-z'
'-x,y,-z'
'x,-y,z'
'x+1/2,y+1/2,z'
'-x+1/2,-y+1/2,-z'
'-x+1/2,y+1/2,-z'
'x+1/2,-y+1/2,z'
loop_
_atom_site_label
_atom_site_fract_x
_atom_site_fract_y
_atom_site_fract_z
Pd1 0.181 0.000 0.112
Pt1 0.000 0.000 0.500
O1 0.013 0.000 0.210
O2 0.136 0.500 0.582
O3 0.178 0.500 0.038
# **Formation energy without anion corrections**: -3.1 kcal/mol of atoms
# **Total energy**: -5.2648 eV/atom
# **Energy relative to the lowest polymorph listed for this composition**: 238 meV per atom
# **D(E_F)**: 4.5 states/eV/f.u.

=====

Entry 4:
# GGA-PBE PdPt2O6, optimized geometry
data_PdPt2O6
_symmetry_space_group_name_H-M 'P -3 1 m'
_symmetry_Int_Tables_number 162
_symmetry_space_group_name_Hall '-P 3 2'
_cell_length_a 5.4498
_cell_length_b 5.4498
_cell_length_c 4.7029
_cell_angle_alpha 90.00
_cell_angle_beta 90.00
_cell_angle_gamma 120.00
loop_
_atom_site_label
_atom_site_fract_x
_atom_site_fract_y
_atom_site_fract_z
Pd1 0.0000 0.0000 0.0000
Pt1 0.3333 0.6667 0.0000
O1 0.0000 0.3342 0.2037
# **Formation energy without anion corrections**: -9.6 kcal/mol of atoms
# **Total energy**: -5.6425 eV/atom

=====

no.,volume (Å³/atom),total magnetic moment (μB per formula unit),ρ (g/cm3)
1,13.98,0.00,8.1
2,12.79,1.75,9.3
3,12.13,1.06,7.7
4,13.44,0.00,8.1